1.
A geometry-optimized Cd2InGa2 structure, computed with PBE.

Calculated values
E, eV per cell: -20.55
Energy of formation, meV/atom: 70
Energy relative to the lowest polymorph listed for this composition, meV/atom: 4
Space-group type: P4/mbm, No. 127

a b c (Å): 8.5962 8.5962 3.0987
angles (deg): 90.00 90.00 90.00
Fractional coordinates of all 10 atoms:
1 Cd 0.1762 0.3238 0.0000
2 Cd 0.3238 0.8238 0.0000
3 Cd 0.6762 0.1762 0.0000
4 Cd 0.8238 0.6762 0.0000
5 In 0.0000 0.0000 0.5000
6 In 0.5000 0.5000 0.5000
7 Ga 0.1203 0.6203 0.5000
8 Ga 0.3797 0.1203 0.5000
9 Ga 0.6203 0.8797 0.5000
10 Ga 0.8797 0.3797 0.5000

---

2.
A geometry-optimized CaBeAgAu6 structure, computed with PBE.

Calculated values
E, eV per cell: -59.69
Energy of formation, meV/atom: -178
Space-group type: Imma, No. 74

a b c (Å): 7.9683 7.9683 7.9683
angles (deg): 128.90 110.40 91.35
Fractional coordinates of all 18 atoms:
1 Ca 0.4684 0.2184 0.2500
2 Ca 0.5316 0.7816 0.7500
3 Be 0.0000 0.0000 0.0000
4 Be 0.5000 0.0000 0.5000
5 Ag 0.0000 0.0000 0.5000
6 Ag 0.0000 0.5000 0.0000
7 Au 0.1379 0.4085 0.2977
8 Au 0.1379 0.8402 0.7293
9 Au 0.1979 0.9479 0.2500
10 Au 0.2503 0.5003 0.7500
11 Au 0.3891 0.1598 0.7977
12 Au 0.3891 0.5915 0.2293
13 Au 0.6109 0.4085 0.7707
14 Au 0.6109 0.8402 0.2023
15 Au 0.7497 0.4997 0.2500
16 Au 0.8021 0.0521 0.7500
17 Au 0.8621 0.1598 0.2707
18 Au 0.8621 0.5915 0.7023

---

3.
A geometry-optimized Y2AlIr structure, computed with PBE.

Calculated values
E, eV per cell: -56.50
Energy of formation, meV/atom: -680
Space-group type: P2_1/m, No. 11

a b c (Å): 6.0663 3.8694 8.4931
angles (deg): 90.00 109.07 90.00
Fractional coordinates of all 8 atoms:
1 Y 0.1955 0.2500 0.4071
2 Y 0.2623 0.7500 0.0550
3 Y 0.7377 0.2500 0.9450
4 Y 0.8045 0.7500 0.5929
5 Al 0.3543 0.7500 0.7162
6 Al 0.6457 0.2500 0.2838
7 Ir 0.1243 0.2500 0.7879
8 Ir 0.8757 0.7500 0.2121

---

4.
A geometry-optimized Ti2Be2Re structure, computed with PBE.

Calculated values
E, eV per cell: -73.83
Energy of formation, meV/atom: -245
Space-group type: P4/mbm, No. 127

a b c (Å): 6.2767 6.2767 3.2462
angles (deg): 90.00 90.00 90.00
Fractional coordinates of all 10 atoms:
1 Ti 0.1829 0.3171 0.0000
2 Ti 0.3171 0.8171 0.0000
3 Ti 0.6829 0.1829 0.0000
4 Ti 0.8171 0.6829 0.0000
5 Be 0.1174 0.6174 0.5000
6 Be 0.3826 0.1174 0.5000
7 Be 0.6174 0.8826 0.5000
8 Be 0.8826 0.3826 0.5000
9 Re 0.0000 0.0000 0.5000
10 Re 0.5000 0.5000 0.5000

---

5.
A geometry-optimized Dy2TlF structure, computed with PBE.

Calculated values
E, eV per cell: -18.57
Energy relative to the lowest polymorph listed for this composition, meV/atom: 0
Formation energy without anion corrections, eV per atom: -1.2832
Space-group type: R-3m, No. 166

a b c (Å): 7.5567 7.5567 7.5567
angles (deg): 36.80 36.80 36.80
Fractional coordinates of all 4 atoms:
1 Dy 0.1030 0.1030 0.1030
2 Dy 0.8970 0.8970 0.8970
3 Tl 0.5000 0.5000 0.5000
4 F 0.0000 0.0000 0.0000

---

6.
A geometry-optimized Ba2YZn structure, computed with PBE.

Calculated values
E, eV per cell: -11.44
Energy of formation, meV/atom: 37
Space-group type: Imm2, No. 44

a b c (Å): 7.4256 7.4256 7.4256
angles (deg): 148.96 130.75 59.37
Fractional coordinates of all 4 atoms:
1 Ba 0.0000 0.0000 0.0000
2 Ba 0.6998 0.1998 0.5000
3 Y 0.3012 0.8012 0.5000
4 Zn 0.4729 0.4729 0.0000

---

7.
A geometry-optimized TlSbOs structure, computed with PBE.

Calculated values
E, eV per cell: -15.21
Energy relative to the lowest polymorph listed for this composition, meV/atom: 382
Formation energy without anion corrections, eV per atom: 0.8361
Space-group type: P-6m2, No. 187

a b c (Å): 4.6881 4.6881 3.4052
angles (deg): 90.00 90.00 120.00
Fractional coordinates of all 3 atoms:
1 Tl 0.0000 0.0000 0.0000
2 Sb 0.3333 0.6667 0.5000
3 Os 0.6667 0.3333 0.5000

---

8.
A geometry-optimized Tb8Te4As3P structure, computed with PBE.

Calculated values
E, eV per cell: -93.33
Formation energy without anion corrections, eV per atom: -1.5225
Space-group type: R-3m, No. 166

a b c (Å): 8.5978 8.5978 8.5978
angles (deg): 58.41 58.41 58.41
Fractional coordinates of all 16 atoms:
1 Tb 0.2395 0.2395 0.2395
2 Tb 0.2444 0.7354 0.7354
3 Tb 0.2646 0.2646 0.7556
4 Tb 0.2646 0.7556 0.2646
5 Tb 0.7354 0.2444 0.7354
6 Tb 0.7354 0.7354 0.2444
7 Tb 0.7556 0.2646 0.2646
8 Tb 0.7605 0.7605 0.7605
9 Te 0.0000 0.0000 0.0000
10 Te 0.0000 0.5000 0.5000
11 Te 0.5000 0.0000 0.5000
12 Te 0.5000 0.5000 0.0000
13 As 0.0000 0.0000 0.5000
14 As 0.0000 0.5000 0.0000
15 As 0.5000 0.0000 0.0000
16 P 0.5000 0.5000 0.5000

---

9.
A geometry-optimized LiLaB12 structure, computed with PBE.

Calculated values
E, eV per cell: -91.62
Energy of formation, meV/atom: -332
Space-group type: P4/mmm, No. 123

a b c (Å): 4.1577 4.1577 8.2913
angles (deg): 90.00 90.00 90.00
Fractional coordinates of all 14 atoms:
1 Li 0.0000 0.0000 0.0000
2 La 0.0000 0.0000 0.5000
3 B 0.2016 0.5000 0.2498
4 B 0.2016 0.5000 0.7502
5 B 0.5000 0.2016 0.2498
6 B 0.5000 0.2016 0.7502
7 B 0.5000 0.5000 0.1004
8 B 0.5000 0.5000 0.3994
9 B 0.5000 0.5000 0.6006
10 B 0.5000 0.5000 0.8996
11 B 0.5000 0.7984 0.2498
12 B 0.5000 0.7984 0.7502
13 B 0.7984 0.5000 0.2498
14 B 0.7984 0.5000 0.7502

---

10.
A geometry-optimized PmCu5Pd structure, computed with PBE.

Calculated values
E, eV per cell: -129.04
Energy of formation, meV/atom: -262
Space-group type: Pnma, No. 62

a b c (Å): 8.2105 5.0278 10.2965
angles (deg): 90.00 90.00 90.00
Fractional coordinates of all 28 atoms:
1 Pm 0.2406 0.2500 0.0653
2 Pm 0.2594 0.7500 0.5653
3 Pm 0.7406 0.2500 0.4347
4 Pm 0.7594 0.7500 0.9347
5 Cu 0.0554 0.7500 0.1024
6 Cu 0.0655 0.0027 0.3117
7 Cu 0.0655 0.4973 0.3117
8 Cu 0.0937 0.2500 0.5169
9 Cu 0.1861 0.2500 0.7498
10 Cu 0.3139 0.7500 0.2498
11 Cu 0.4063 0.7500 0.0169
12 Cu 0.4345 0.5027 0.8117
13 Cu 0.4345 0.9973 0.8117
14 Cu 0.4446 0.2500 0.6024
15 Cu 0.5554 0.7500 0.3976
16 Cu 0.5655 0.0027 0.1883
17 Cu 0.5655 0.4973 0.1883
18 Cu 0.5937 0.2500 0.9831
19 Cu 0.6861 0.2500 0.7502
20 Cu 0.8139 0.7500 0.2502
21 Cu 0.9063 0.7500 0.4831
22 Cu 0.9345 0.5027 0.6883
23 Cu 0.9345 0.9973 0.6883
24 Cu 0.9446 0.2500 0.8976
25 Pd 0.1419 0.7500 0.8591
26 Pd 0.3581 0.2500 0.3591
27 Pd 0.6419 0.7500 0.6409
28 Pd 0.8581 0.2500 0.1409

---

11.
A geometry-optimized La2SbHPt6 structure, computed with PBE.

Calculated values
E, eV per cell: -61.10
Space-group type: R-3m, No. 166

a b c (Å): 7.2242 7.2242 7.2242
angles (deg): 47.53 47.53 47.53
Fractional coordinates of all 10 atoms:
1 La 0.2253 0.2253 0.2253
2 La 0.7747 0.7747 0.7747
3 Sb 0.5000 0.5000 0.5000
4 H 0.0000 0.0000 0.0000
5 Pt 0.2259 0.2259 0.7282
6 Pt 0.2259 0.7282 0.2259
7 Pt 0.2718 0.7741 0.7741
8 Pt 0.7282 0.2259 0.2259
9 Pt 0.7741 0.2718 0.7741
10 Pt 0.7741 0.7741 0.2718

---

12.
A geometry-optimized KBaLi structure, computed with PBE.

Calculated values
E, eV per cell: -4.23
Energy of formation, meV/atom: 236
Energy relative to the lowest polymorph listed for this composition, meV/atom: 186
Space-group type: F-43m, No. 216

a b c (Å): 6.2425 6.2425 6.2425
angles (deg): 60.00 60.00 60.00
Fractional coordinates of all 3 atoms:
1 K 0.0000 0.0000 0.0000
2 Ba 0.5000 0.5000 0.5000
3 Li 0.2500 0.2500 0.2500

---

13.
A geometry-optimized Sc2ZnTe structure, computed with PBE.

Calculated values
E, eV per cell: -18.82
Energy relative to the lowest polymorph listed for this composition, meV/atom: 188
Formation energy without anion corrections, eV per atom: -0.4350
Space-group type: Fm-3m, No. 225

a b c (Å): 4.9509 4.9509 4.9509
angles (deg): 60.00 60.00 60.00
Fractional coordinates of all 4 atoms:
1 Sc 0.2500 0.2500 0.2500
2 Sc 0.7500 0.7500 0.7500
3 Zn 0.0000 0.0000 0.0000
4 Te 0.5000 0.5000 0.5000